# Dy5Y4Pu

Dy5Y4Pu after structural relaxation (GGA-PBE, the Alexandria database).

a = 3.5011 Å, b = 11.3355 Å, c = 8.5696 Å
α = 108.44°, β = 101.79°, γ = 90.00°
Last column: nearest neighbours and their distance in Å.
Positions (direct):
Dy  0.1885  0.0781  0.3770  4 Y 3.28-3.49, 2 Pu 3.47, 4 Dy 3.50-3.58
Dy  0.8115  0.9219  0.6230  4 Y 3.28-3.49, 2 Pu 3.47, 4 Dy 3.50-3.58
Dy  0.5000  0.5000  0.0000  6 Y 3.27-3.59, 2 Dy 3.50
Dy  0.7894  0.3850  0.5788  8 Dy 3.50-3.78, 5 Y 3.58-3.69
Dy  0.2106  0.6150  0.4212  8 Dy 3.50-3.78, 5 Y 3.58-3.69
Y  0.3943  0.2017  0.7886  6 Dy 3.27-3.58, 1 Pu 3.32, 4 Y 3.50
Y  0.6057  0.7983  0.2114  6 Dy 3.27-3.58, 1 Pu 3.32, 4 Y 3.50
Y  0.0851  0.2913  0.1702  6 Dy 3.40-3.69, 4 Y 3.50, 2 Pu 3.60
Y  0.9149  0.7087  0.8298  6 Dy 3.40-3.69, 4 Y 3.50, 2 Pu 3.60
Pu  0.5000  0.0000  0.0000  6 Y 3.32-3.60, 4 Dy 3.47, 2 Pu 3.50

Calculated values
Electronic total energy (eV per atom): -6.253
Energy relative to the lowest polymorph listed for this composition (meV/atom): 0
Spin magnetization (μB per cell): 5.904
N(E_F) (states/eV per atom): 1.8113



# La2Dy2Cd

La2Dy2Cd after structural relaxation (GGA-PBE, the Alexandria database).

a = 3.6883 Å, b = 3.6883 Å, c = 11.9252 Å
α = 98.90°, β = 98.90°, γ = 90.00°
Last column: nearest neighbours and their distance in Å.
Positions (direct):
La  0.1922  0.1922  0.3845  4 Dy 3.64, 8 La 3.69-3.75
La  0.8078  0.8078  0.6155  4 Dy 3.64, 8 La 3.69-3.75
Dy  0.4168  0.4168  0.8335  4 Cd 3.25
Dy  0.5832  0.5832  0.1665  4 Cd 3.25
Cd  0.0000  0.0000  0.0000  8 Dy 3.25

Calculated values
Electronic total energy (eV per atom): -4.106
Energy relative to the lowest polymorph listed for this composition (meV/atom): 0
Spin magnetization (μB per cell): 0.667
N(E_F) (states/eV per atom): 1.4008



Calculated values (meV/atom) of ΔH_f (0 K) for the records, taken in order: 66.8 -111.0.